No. 1
Density functional theory data (PBE) for an optimized crystal structure of RbBaIr2.

The structure belongs to space group Fm-3m (No. 225); the cell edges are 7.557, 7.557 and 7.557 Å and the angles 90.00°, 90.00° and 90.00°. The inequivalent atoms are Rb at (0.000, 0.000, 0.000), Ba at (0.000, 0.000, 0.500) and Ir at (0.250, 0.250, 0.250).

The calculation puts the electronic total energy at -3.976 eV/atom. The density of states at the Fermi level comes out at 5.0 states/eV/f.u. The crystal system is cubic.

No. 2
Density functional theory data (PBE) for an optimized crystal structure of LiMg4Cl.

The structure belongs to space group F-43m (No. 216); the cell edges are 8.555, 8.555 and 8.555 Å and the angles 90.00°, 90.00° and 90.00°. The inequivalent atoms are Li at (0.000, 0.000, 0.000), Mg at (0.126, 0.126, 0.626) and Cl at (0.250, 0.250, 0.250).

The calculation puts the electronic total energy at -1.677 eV/atom. The density of states at the Fermi level comes out at 4.8 states/eV/f.u. The crystal system is cubic.

No. 3
Density functional theory data (PBE) for an optimized crystal structure of KTbSnI6.

The structure belongs to space group P-31c (No. 163); the cell edges are 8.0678, 8.0678 and 15.4795 Å and the angles 90.00°, 90.00° and 120.00°. The inequivalent atoms are K at (0.0000, 0.0000, 0.0000), Tb at (0.3333, 0.6667, 0.2500), Sn at (0.3333, 0.6667, 0.7500) and I at (0.0135, 0.3723, 0.1348).

The calculation puts the electronic total energy at -3.242 eV/atom. The density of states at the Fermi level comes out at 0.0 states/eV/f.u. The crystal system is trigonal.

No. 4
Density functional theory data (PBE) for an optimized crystal structure of MgTaIr2.

The structure belongs to space group R-3m (No. 166, hexagonal axes); the cell edges are 2.9185, 2.9185 and 26.3169 Å and the angles 90.00°, 90.00° and 120.00°. The inequivalent atoms are Mg at (0.0000, 0.0000, 0.0000), Ta at (0.0000, 0.0000, 0.5000) and Ir at (0.0000, 0.0000, 0.2483).

The calculation puts the electronic total energy at -8.084 eV/atom. The density of states at the Fermi level comes out at 3.5 states/eV/f.u. The value obtained for the polymorph energy (0 for the lowest one) is 120.8 kJ/mol of formula units. The crystal system is trigonal.

No. 5
Density functional theory data (PBE) for an optimized crystal structure of CeTiAl2.

The structure belongs to space group Fm-3m (No. 225); the cell edges are 6.877, 6.877 and 6.877 Å and the angles 90.00°, 90.00° and 90.00°. The inequivalent atoms are Ce at (0.000, 0.000, 0.000), Ti at (0.000, 0.000, 0.500) and Al at (0.250, 0.250, 0.250).

The calculation puts the electronic total energy at -5.526 eV/atom. The density of states at the Fermi level comes out at 6.8 states/eV/f.u. The value obtained for the polymorph energy (0 for the lowest one) is 57.6 kJ/mol of formula units. The crystal system is cubic.

No. 6
Density functional theory data (PBE) for an optimized crystal structure of YTc2P.

The structure belongs to space group I4/mmm (No. 139); the cell edges are 3.751, 3.751 and 9.840 Å and the angles 90.00°, 90.00° and 90.00°. The inequivalent atoms are Y at (0.000, 0.000, 0.000), Tc at (0.000, 0.500, 0.250) and P at (0.000, 0.000, 0.500).

The calculation puts the electronic total energy at -8.136 eV/atom. The density of states at the Fermi level comes out at 3.5 states/eV/f.u. The crystal system is tetragonal.

No. 7
Density functional theory data (PBE) for an optimized crystal structure of PuMn2V.

The structure belongs to space group P4/mmm (No. 123); the cell edges are 2.951, 2.951 and 6.959 Å and the angles 90.00°, 90.00° and 90.00°. The inequivalent atoms are Pu at (0.000, 0.000, 0.000), Mn at (0.500, 0.500, 0.296) and V at (0.000, 0.000, 0.500).

The calculation puts the electronic total energy at -10.456 eV/atom. The density of states at the Fermi level comes out at 4.4 states/eV/f.u. The value obtained for the polymorph energy (0 for the lowest one) is 0.0 kJ/mol of formula units. The crystal system is tetragonal.

No. 8
Density functional theory data (PBE) for an optimized crystal structure of YTcAg3.

The structure belongs to space group Pm-3m (No. 221); the cell edges are 5.008, 5.008 and 5.008 Å and the angles 90.00°, 90.00° and 90.00°. The inequivalent atoms are Y at (0.000, 0.000, 0.000), Tc at (0.500, 0.500, 0.500) and Ag at (0.000, 0.500, 0.500).

The calculation puts the electronic total energy at -4.171 eV/atom. The density of states at the Fermi level comes out at 5.0 states/eV/f.u. The value obtained for the polymorph energy (0 for the lowest one) is 0.0 kJ/mol of formula units. The crystal system is cubic.

No. 9
Density functional theory data (PBE) for an optimized crystal structure of Ac2AgHgRh.

The structure belongs to space group P2_1/m (No. 11); the cell edges are 8.417, 4.302 and 8.548 Å and the angles 90.00°, 112.68° and 90.00°. The inequivalent atoms are Ac at (0.130, 0.250, 0.354), Ac at (0.282, 0.250, 0.988), Ag at (0.449, 0.750, 0.359), Hg at (0.314, 0.750, 0.684) and Rh at (0.105, 0.750, 0.102).

The calculation puts the electronic total energy at -4.229 eV/atom. The density of states at the Fermi level comes out at 3.1 states/eV/f.u. The crystal system is monoclinic.

No. 10
Density functional theory data (PBE) for an optimized crystal structure of ReTcOsRu.

The structure belongs to space group I-4m2 (No. 119); the cell edges are 3.858, 3.858 and 7.770 Å and the angles 90.00°, 90.00° and 90.00°. The inequivalent atoms are Re at (0.000, 0.000, 0.000), Tc at (0.000, 0.500, 0.250), Os at (0.000, 0.000, 0.500) and Ru at (0.000, 0.500, 0.750).

The calculation puts the electronic total energy at -10.785 eV/atom. The density of states at the Fermi level comes out at 3.6 states/eV/f.u. The crystal system is tetragonal.

No. 11
Density functional theory data (PBE) for an optimized crystal structure of YTlTc.

The structure belongs to space group I4mm (No. 107); the cell edges are 3.619, 3.619 and 9.968 Å and the angles 90.00°, 90.00° and 90.00°. The inequivalent atoms are Y at (0.000, 0.000, 0.000), Tl at (0.000, 0.000, 0.306) and Tc at (0.000, 0.000, 0.661).

The calculation puts the electronic total energy at -6.244 eV/atom. The density of states at the Fermi level comes out at 3.5 states/eV/f.u. The value obtained for the polymorph energy (0 for the lowest one) is 0.0 kJ/mol of formula units. The crystal system is tetragonal.

No. 12
Density functional theory data (PBE) for an optimized crystal structure of InAg2Ge.

The structure belongs to space group P4/mmm (No. 123); the cell edges are 4.324, 4.324 and 4.239 Å and the angles 90.00°, 90.00° and 90.00°. The inequivalent atoms are In at (0.000, 0.000, 0.000), Ag at (0.000, 0.500, 0.500) and Ge at (0.500, 0.500, 0.000).

The calculation puts the electronic total energy at -3.152 eV/atom. The density of states at the Fermi level comes out at 1.1 states/eV/f.u. The crystal system is tetragonal.

No. 13
Density functional theory data (PBE) for an optimized crystal structure of Ni2PbW.

The structure belongs to space group P2/m (No. 10); the cell edges are 3.007, 3.506 and 6.005 Å and the angles 90.00°, 90.18° and 90.00°. The inequivalent atoms are Ni at (0.002, 0.000, 0.205), Pb at (0.500, 0.500, 0.500) and W at (0.500, 0.500, 0.000).

The calculation puts the electronic total energy at -6.704 eV/atom. The density of states at the Fermi level comes out at 3.8 states/eV/f.u. The crystal system is monoclinic.

No. 14
Density functional theory data (PBE) for an optimized crystal structure of NdGdRh.

The structure belongs to space group P3m1 (No. 156); the cell edges are 4.5644, 4.5644 and 4.3628 Å and the angles 90.00°, 90.00° and 120.00°. The inequivalent atoms are Nd at (0.0000, 0.0000, 0.0000), Gd at (0.6667, 0.3333, 0.5340) and Rh at (0.3333, 0.6667, 0.2943).

The calculation puts the electronic total energy at -9.106 eV/atom. The density of states at the Fermi level comes out at 2.3 states/eV/f.u. The value obtained for the polymorph energy (0 for the lowest one) is 34.7 kJ/mol of formula units. The crystal system is trigonal.

No. 15
Density functional theory data (PBE) for an optimized crystal structure of Pr5Sm3Er3.

The structure belongs to space group P-62m (No. 189); the cell edges are 11.3975, 11.3975 and 3.4731 Å and the angles 90.00°, 90.00° and 120.00°. The inequivalent atoms are Pr at (0.0000, 0.3371, 0.0000), Pr at (0.3333, 0.6667, 0.0000), Sm at (0.0000, 0.5976, 0.5000) and Er at (0.0000, 0.8413, 0.0000).

The calculation puts the electronic total energy at -4.398 eV/atom. The density of states at the Fermi level comes out at 16.7 states/eV/f.u. The crystal system is hexagonal.

No. 16
Density functional theory data (PBE) for an optimized crystal structure of Tc2CO.

The structure belongs to space group I-42d (No. 122); the cell edges are 4.790, 4.790 and 8.681 Å and the angles 90.00°, 90.00° and 90.00°. The inequivalent atoms are Tc at (0.242, 0.250, 0.125), C at (0.000, 0.000, 0.000) and O at (0.000, 0.000, 0.500).

The calculation puts the electronic total energy at -8.616 eV/atom. The density of states at the Fermi level comes out at 4.5 states/eV/f.u. The value obtained for the polymorph energy (0 for the lowest one) is 0.0 kJ/mol of formula units. The crystal system is tetragonal.

No. 17
Density functional theory data (PBE) for an optimized crystal structure of Ba2Ce2Pd15.

The structure belongs to space group R-3m (No. 166, hexagonal axes); the cell edges are 9.4840, 9.4840 and 14.2441 Å and the angles 90.00°, 90.00° and 120.00°. The inequivalent atoms are Ba at (0.0000, 0.0000, 0.1403), Ce at (0.0000, 0.0000, 0.3925), Pd at (0.0000, 0.2956, 0.5000), Pd at (0.0000, 0.5000, 0.0000) and Pd at (0.0042, 0.5021, 0.3453).

The calculation puts the electronic total energy at -5.411 eV/atom. The density of states at the Fermi level comes out at 13.1 states/eV/f.u. The crystal system is trigonal.

No. 18
Density functional theory data (PBE) for an optimized crystal structure of Ac3B2PbN6.

The structure belongs to space group P-3m1 (No. 164); the cell edges are 5.7270, 5.7270 and 6.8755 Å and the angles 90.00°, 90.00° and 120.00°. The inequivalent atoms are Ac at (0.0000, 0.0000, 0.0000), Ac at (0.3333, 0.6667, 0.6794), B at (0.3333, 0.6667, 0.2629), Pb at (0.0000, 0.0000, 0.5000) and N at (0.1850, 0.3699, 0.2670).

The calculation puts the electronic total energy at -7.308 eV/atom. The density of states at the Fermi level comes out at 1.9 states/eV/f.u. The crystal system is trigonal.

No. 19
Density functional theory data (PBE) for an optimized crystal structure of Rb3CdAg.

The structure belongs to space group Pm-3m (No. 221); the cell edges are 6.795, 6.795 and 6.795 Å and the angles 90.00°, 90.00° and 90.00°. The inequivalent atoms are Rb at (0.000, 0.000, 0.500), Cd at (0.500, 0.500, 0.500) and Ag at (0.000, 0.000, 0.000).

The calculation puts the electronic total energy at -1.177 eV/atom. The density of states at the Fermi level comes out at 6.4 states/eV/f.u. The value obtained for the polymorph energy (0 for the lowest one) is 71.7 kJ/mol of formula units. The crystal system is cubic.

No. 20
Density functional theory data (PBE) for an optimized crystal structure of CoIr2Cl.

The structure belongs to space group Immm (No. 71); the cell edges are 2.738, 3.988 and 11.356 Å and the angles 90.00°, 90.00° and 90.00°. The inequivalent atoms are Co at (0.000, 0.000, 0.000), Ir at (0.000, 0.500, 0.292) and Cl at (0.000, 0.000, 0.500).

The calculation puts the electronic total energy at -6.112 eV/atom. The density of states at the Fermi level comes out at 6.0 states/eV/f.u. The value obtained for the polymorph energy (0 for the lowest one) is 55.2 kJ/mol of formula units. The crystal system is orthorhombic.

No. 21
Density functional theory data (PBE) for an optimized crystal structure of TaTi2BiH.

The structure belongs to space group P4/mmm (No. 123); the cell edges are 4.406, 4.406 and 3.940 Å and the angles 90.00°, 90.00° and 90.00°. The inequivalent atoms are Ta at (0.000, 0.000, 0.000), Ti at (0.000, 0.500, 0.500), Bi at (0.500, 0.500, 0.000) and H at (0.000, 0.000, 0.500).

The calculation puts the electronic total energy at -7.079 eV/atom. The density of states at the Fermi level comes out at 3.8 states/eV/f.u. The crystal system is tetragonal.

No. 22
Density functional theory data (PBE) for an optimized crystal structure of SrPtF6.

The structure belongs to space group P-31c (No. 163); the cell edges are 5.4516, 5.4516 and 10.3665 Å and the angles 90.00°, 90.00° and 120.00°. The inequivalent atoms are Sr at (0.3333, 0.6667, 0.2500), Pt at (0.0000, 0.0000, 0.0000) and F at (0.0155, 0.2994, 0.6122).

The calculation puts the electronic total energy at -4.742 eV/atom. The density of states at the Fermi level comes out at 0.0 states/eV/f.u. The crystal system is trigonal.

No. 23
Density functional theory data (PBE) for an optimized crystal structure of PmErInIr.

The structure belongs to space group F-43m (No. 216); the cell edges are 7.244, 7.244 and 7.244 Å and the angles 90.00°, 90.00° and 90.00°. The inequivalent atoms are Pm at (0.000, 0.000, 0.000), Er at (0.000, 0.000, 0.500), In at (0.250, 0.250, 0.750) and Ir at (0.250, 0.250, 0.250).

The calculation puts the electronic total energy at -5.728 eV/atom. The density of states at the Fermi level comes out at 3.1 states/eV/f.u. The crystal system is cubic.

No. 24
Density functional theory data (PBE) for an optimized crystal structure of CeAlBr.

The structure belongs to space group C2/m (No. 12); the cell edges are 7.471, 4.313 and 11.626 Å and the angles 90.00°, 102.54° and 90.00°. The inequivalent atoms are Ce at (0.064, 0.000, 0.188), Al at (0.161, 0.500, 0.982) and Br at (0.217, 0.000, 0.655).

The calculation puts the electronic total energy at -4.795 eV/atom. The density of states at the Fermi level comes out at 6.8 states/eV/f.u. The crystal system is monoclinic.

No. 25
Density functional theory data (PBE) for an optimized crystal structure of InPb2Cl.

The structure belongs to space group C2 (No. 5); the cell edges are 7.683, 7.630 and 5.408 Å and the angles 90.00°, 134.59° and 90.00°. The inequivalent atoms are In at (0.000, 0.000, 0.000), Pb at (0.000, 0.494, 0.000), Pb at (0.000, 0.748, 0.500) and Cl at (0.000, 0.249, 0.500).

The calculation puts the electronic total energy at -3.199 eV/atom. The density of states at the Fermi level comes out at 1.3 states/eV/f.u. The value obtained for the polymorph energy (0 for the lowest one) is 43.3 kJ/mol of formula units. The crystal system is monoclinic.

No. 26
Density functional theory data (PBE) for an optimized crystal structure of La2Sb.

The structure belongs to space group C2/m (No. 12); the cell edges are 11.961, 4.338 and 8.893 Å and the angles 90.00°, 118.08° and 90.00°. The inequivalent atoms are La at (0.066, 0.000, 0.351), La at (0.153, 0.500, 0.050) and Sb at (0.163, 0.500, 0.675).

The calculation puts the electronic total energy at -5.433 eV/atom. The density of states at the Fermi level comes out at 4.2 states/eV/f.u. The crystal system is monoclinic.